Entry 1:
This record from Alexandria describes an optimized crystal structure of PuMgCo. The functional is PBE.

## Properties
N(E_F): 7.0 states/eV/f.u.
crystal system: tetragonal
energy of formation: 0.077 eV per atom

Lattice parameters (Å, degrees): 3.098 3.098 11.898 90.00 90.00 90.00
Space group I4mm (No. 107)
Symmetry-distinct sites (fractional):
Pu (0.000, 0.000, 0.000) (multiplicity 2)
Mg (0.000, 0.000, 0.725) (multiplicity 2)
Co (0.000, 0.000, 0.359) (multiplicity 2)

Entry 2:
This record from Alexandria describes an optimized crystal structure of Rb2Mg2Co. The functional is PBE.

## Properties
N(E_F): 7.6 states/eV/f.u.
crystal system: tetragonal
energy of formation: 1.009 eV per atom

Lattice parameters (Å, degrees): 11.110 11.110 3.329 90.00 90.00 90.00
Space group P4/mbm (No. 127)
Symmetry-distinct sites (fractional):
Rb (0.198, 0.302, 0.000) (multiplicity 4)
Mg (0.095, 0.595, 0.500) (multiplicity 4)
Co (0.000, 0.000, 0.000) (multiplicity 2)

Entry 3:
This record from Alexandria describes an optimized crystal structure of RbMgCo3. The functional is PBE.

## Properties
N(E_F): 8.3 states/eV/f.u.
crystal system: cubic
energy of formation: 2.295 eV per atom

Lattice parameters (Å, degrees): 4.681 4.681 4.681 90.00 90.00 90.00
Space group Pm-3m (No. 221)
Symmetry-distinct sites (fractional):
Rb (0.000, 0.000, 0.000) (multiplicity 1)
Mg (0.500, 0.500, 0.500) (multiplicity 1)
Co (0.000, 0.000, 0.500) (multiplicity 3)

Entry 4:
This record from Alexandria describes an optimized crystal structure of RbMgCo3. The functional is PBE.

## Properties
N(E_F): 6.5 states/eV/f.u.
crystal system: cubic
energy of formation: 1.505 eV per atom

Lattice parameters (Å, degrees): 4.879 4.879 4.879 90.00 90.00 90.00
Space group Pm-3m (No. 221)
Symmetry-distinct sites (fractional):
Rb (0.000, 0.000, 0.000) (multiplicity 1)
Mg (0.500, 0.500, 0.500) (multiplicity 1)
Co (0.000, 0.500, 0.500) (multiplicity 3)

Entry 5:
This record from Alexandria describes an optimized crystal structure of Rb2Mg2Co. The functional is PBE.

## Properties
N(E_F): 11.0 states/eV/f.u.
crystal system: tetragonal
energy of formation: 0.780 eV per atom

Lattice parameters (Å, degrees): 4.234 4.234 22.722 90.00 90.00 90.00
Space group I4/mmm (No. 139)
Symmetry-distinct sites (fractional):
Rb (0.000, 0.000, 0.093) (multiplicity 4)
Mg (0.000, 0.500, 0.250) (multiplicity 4)
Co (0.000, 0.000, 0.500) (multiplicity 2)

Entry 6:
This record from Alexandria describes an optimized crystal structure of RbMg3Co. The functional is PBE.

## Properties
N(E_F): 2.2 states/eV/f.u.
crystal system: cubic
energy of formation: 0.272 eV per atom

Lattice parameters (Å, degrees): 5.110 5.110 5.110 90.00 90.00 90.00
Space group Pm-3m (No. 221)
Symmetry-distinct sites (fractional):
Rb (0.000, 0.000, 0.000) (multiplicity 1)
Mg (0.000, 0.500, 0.500) (multiplicity 3)
Co (0.500, 0.500, 0.500) (multiplicity 1)

Entry 7:
This record from Alexandria describes an optimized crystal structure of RbMg3Co. The functional is PBE.

## Properties
N(E_F): 41.3 states/eV/f.u.
crystal system: cubic
energy of formation: 1.674 eV per atom

Lattice parameters (Å, degrees): 7.040 7.040 7.040 90.00 90.00 90.00
Space group Pm-3m (No. 221)
Symmetry-distinct sites (fractional):
Rb (0.000, 0.000, 0.000) (multiplicity 1)
Mg (0.000, 0.000, 0.500) (multiplicity 3)
Co (0.500, 0.500, 0.500) (multiplicity 1)

Entry 8:
This record from Alexandria describes an optimized crystal structure of RbMg2Co. The functional is PBE.

## Properties
N(E_F): 4.7 states/eV/f.u.
crystal system: tetragonal
energy of formation: 0.697 eV per atom

Lattice parameters (Å, degrees): 6.042 6.042 16.396 90.00 90.00 90.00
Space group I4_1/amd (No. 141, origin choice 2)
Symmetry-distinct sites (fractional):
Rb (0.000, 0.250, 0.375) (multiplicity 4)
Mg (0.000, 0.000, 0.000) (multiplicity 8)
Co (0.000, 0.250, 0.875) (multiplicity 4)

Entry 9:
This record from Alexandria describes an optimized crystal structure of RbMg2Co. The functional is PBE.

## Properties
N(E_F): 8.3 states/eV/f.u.
crystal system: cubic
energy of formation: 0.827 eV per atom

Lattice parameters (Å, degrees): 7.414 7.414 7.414 90.00 90.00 90.00
Space group Fm-3m (No. 225)
Symmetry-distinct sites (fractional):
Rb (0.000, 0.000, 0.000) (multiplicity 4)
Mg (0.250, 0.250, 0.250) (multiplicity 8)
Co (0.000, 0.000, 0.500) (multiplicity 4)

Entry 10:
This record from Alexandria describes an optimized crystal structure of RbMg2CoRh. The functional is PBE.

## Properties
N(E_F): 4.0 states/eV/f.u.
crystal system: tetragonal
energy of formation: 0.323 eV per atom

Lattice parameters (Å, degrees): 5.123 5.123 4.868 90.00 90.00 90.00
Space group P4/mmm (No. 123)
Symmetry-distinct sites (fractional):
Rb (0.000, 0.000, 0.000) (multiplicity 1)
Mg (0.000, 0.500, 0.500) (multiplicity 2)
Co (0.500, 0.500, 0.000) (multiplicity 1)
Rh (0.500, 0.500, 0.500) (multiplicity 1)

Entry 11:
This record from Alexandria describes an optimized crystal structure of RbMgTl2Co. The functional is PBE.

## Properties
N(E_F): 2.3 states/eV/f.u.
crystal system: tetragonal
energy of formation: 0.100 eV per atom

Lattice parameters (Å, degrees): 5.176 5.176 5.144 90.00 90.00 90.00
Space group P4/mmm (No. 123)
Symmetry-distinct sites (fractional):
Rb (0.000, 0.000, 0.000) (multiplicity 1)
Mg (0.500, 0.500, 0.000) (multiplicity 1)
Tl (0.000, 0.500, 0.500) (multiplicity 2)
Co (0.500, 0.500, 0.500) (multiplicity 1)

Entry 12:
This record from Alexandria describes an optimized crystal structure of MgCo2Re. The functional is PBE.

## Properties
N(E_F): 4.5 states/eV/f.u.
crystal system: monoclinic
energy of formation: 0.141 eV per atom

Lattice parameters (Å, degrees): 9.090 2.649 4.473 90.00 104.83 90.00
Space group Cm (No. 8)
Symmetry-distinct sites (fractional):
Mg (0.000, 0.000, 0.000) (multiplicity 2)
Co (0.025, 0.500, 0.509) (multiplicity 2)
Co (0.242, 0.000, 0.837) (multiplicity 2)
Re (0.283, 0.500, 0.361) (multiplicity 2)

Entry 13:
This record from Alexandria describes an optimized crystal structure of Mg3CoRe. The functional is PBE.

## Properties
N(E_F): 5.6 states/eV/f.u.
crystal system: cubic
energy of formation: 1.508 eV per atom

Lattice parameters (Å, degrees): 5.008 5.008 5.008 90.00 90.00 90.00
Space group Pm-3m (No. 221)
Symmetry-distinct sites (fractional):
Mg (0.000, 0.000, 0.500) (multiplicity 3)
Co (0.500, 0.500, 0.500) (multiplicity 1)
Re (0.000, 0.000, 0.000) (multiplicity 1)

Entry 14:
This record from Alexandria describes an optimized crystal structure of MgCoRe2. The functional is PBE.

## Properties
N(E_F): 3.7 states/eV/f.u.
crystal system: tetragonal
energy of formation: 0.739 eV per atom

Lattice parameters (Å, degrees): 7.257 7.257 4.849 90.00 90.00 90.00
Space group I-42d (No. 122)
Symmetry-distinct sites (fractional):
Mg (0.000, 0.000, 0.000) (multiplicity 4)
Co (0.000, 0.000, 0.500) (multiplicity 4)
Re (0.190, 0.250, 0.625) (multiplicity 8)

Entry 15:
This record from Alexandria describes an optimized crystal structure of MgCoRe2. The functional is PBE.

## Properties
N(E_F): 4.7 states/eV/f.u.
crystal system: tetragonal
energy of formation: 0.559 eV per atom

Lattice parameters (Å, degrees): 4.589 4.589 2.679 90.00 90.00 90.00
Space group P4/mmm (No. 123)
Symmetry-distinct sites (fractional):
Mg (0.000, 0.000, 0.000) (multiplicity 1)
Co (0.500, 0.500, 0.000) (multiplicity 1)
Re (0.000, 0.500, 0.500) (multiplicity 2)

Entry 16:
This record from Alexandria describes an optimized crystal structure of MgCo3Re. The functional is PBE.

## Properties
N(E_F): 3.3 states/eV/f.u.
crystal system: cubic
energy of formation: 1.703 eV per atom

Lattice parameters (Å, degrees): 4.151 4.151 4.151 90.00 90.00 90.00
Space group Pm-3m (No. 221)
Symmetry-distinct sites (fractional):
Mg (0.000, 0.000, 0.000) (multiplicity 1)
Co (0.000, 0.000, 0.500) (multiplicity 3)
Re (0.500, 0.500, 0.500) (multiplicity 1)

Entry 17:
This record from Alexandria describes an optimized crystal structure of MgCo2Re. The functional is PBE.

## Properties
N(E_F): 5.3 states/eV/f.u.
crystal system: trigonal
energy of formation: 0.288 eV per atom

Lattice parameters (Å, degrees): 2.7201 2.7201 25.6810 90.00 90.00 120.00
Space group R3m (No. 160, hexagonal axes)
Symmetry-distinct sites (fractional):
Mg (0.0000, 0.0000, 0.0000) (multiplicity 3)
Co (0.0000, 0.0000, 0.2477) (multiplicity 3)
Co (0.0000, 0.0000, 0.5075) (multiplicity 3)
Re (0.0000, 0.0000, 0.7613) (multiplicity 3)

Entry 18:
This record from Alexandria describes an optimized crystal structure of MgCoRe2. The functional is PBE.

## Properties
N(E_F): 2.6 states/eV/f.u.
crystal system: monoclinic
energy of formation: 0.255 eV per atom

Lattice parameters (Å, degrees): 9.450 2.726 4.878 90.00 112.58 90.00
Space group Cm (No. 8)
Symmetry-distinct sites (fractional):
Mg (0.000, 0.000, 0.000) (multiplicity 2)
Co (0.257, 0.000, 0.928) (multiplicity 2)
Re (0.055, 0.500, 0.533) (multiplicity 2)
Re (0.282, 0.500, 0.387) (multiplicity 2)

Entry 19:
This record from Alexandria describes an optimized crystal structure of Mg3CoRe. The functional is PBE.

## Properties
N(E_F): 3.9 states/eV/f.u.
crystal system: cubic
energy of formation: 1.131 eV per atom

Lattice parameters (Å, degrees): 4.614 4.614 4.614 90.00 90.00 90.00
Space group Pm-3m (No. 221)
Symmetry-distinct sites (fractional):
Mg (0.000, 0.000, 0.500) (multiplicity 3)
Co (0.000, 0.000, 0.000) (multiplicity 1)
Re (0.500, 0.500, 0.500) (multiplicity 1)

Entry 20:
This record from Alexandria describes an optimized crystal structure of MgCoRe2. The functional is PBE.

## Properties
N(E_F): 3.8 states/eV/f.u.
crystal system: monoclinic
energy of formation: 0.253 eV per atom

Lattice parameters (Å, degrees): 2.659 4.313 5.106 90.00 99.31 90.00
Space group Pm (No. 6)
Symmetry-distinct sites (fractional):
Mg (0.000, 0.000, 0.000) (multiplicity 1)
Co (0.227, 0.500, 0.776) (multiplicity 1)
Re (0.482, 0.000, 0.508) (multiplicity 1)
Re (0.693, 0.500, 0.279) (multiplicity 1)